# 1
AcB2AuO6: relaxed, PBE.

Unit cell a=6.515 b=6.515 c=6.515 alpha=46.37 beta=46.37 gamma=46.37
Fractional coordinates of all 10 atoms:
Ac1 0.000 0.000 0.000
B1 0.239 0.239 0.239
B2 0.761 0.761 0.761
Au1 0.500 0.500 0.500
O1 0.039 0.731 0.501
O2 0.269 0.499 0.961
O3 0.499 0.961 0.269
O4 0.501 0.039 0.731
O5 0.731 0.501 0.039
O6 0.961 0.269 0.499

Computed properties:
Energy relative to the elements, uncorrected, meV per atom: -2004.7
Total energy, eV per atom: -7.0537
Fermi-level density of states, states/eV/cell: 0.0

***

# 2
Tl2SiPtN: relaxed, PBE.

Unit cell a=5.566 b=5.566 c=3.317 alpha=90.00 beta=90.00 gamma=90.00
Fractional coordinates of all 5 atoms:
Tl1 0.000 0.500 0.000
Tl2 0.500 0.000 0.000
Si1 0.000 0.000 0.000
Pt1 0.500 0.500 0.500
N1 0.000 0.000 0.500

Computed properties:
Energy relative to the elements, uncorrected, meV per atom: 481.6
Total energy, eV per atom: -4.4228
Fermi-level density of states, states/eV/cell: 3.2